# 1
First-principles (PBE) data for a relaxed structure of MgHPt, as listed in Alexandria.

Geometry as CIF:
```
data_MgHPt
_chemical_formula_sum 'Mg2 H2 Pt2'
_cell_length_a 3.475
_cell_length_b 3.475
_cell_length_c 6.023
_cell_angle_alpha 90.00
_cell_angle_beta 90.00
_cell_angle_gamma 90.00
_space_group_name_H-M_alt 'P 42/m m c'
_space_group_IT_number 131
_space_group_name_Hall '-P 4c 2'
loop_
_atom_site_label
_atom_site_fract_x
_atom_site_fract_y
_atom_site_fract_z
Mg1 0.000 0.000 0.250
H1 0.000 0.500 0.000
Pt1 0.500 0.500 0.000
```

Properties
Crystal system = tetragonal



# 2
First-principles (PBE) data for a relaxed structure of Mg3H2Pt9, as listed in Alexandria.

Geometry as CIF:
```
data_Mg3H2Pt9
_chemical_formula_sum 'Mg3 H2 Pt9'
_cell_length_a 5.7068
_cell_length_b 5.7068
_cell_length_c 6.9275
_cell_angle_alpha 90.00
_cell_angle_beta 90.00
_cell_angle_gamma 120.00
_space_group_name_H-M_alt 'P -3 m 1'
_space_group_IT_number 164
_space_group_name_Hall '-P 3 2"'
loop_
_atom_site_label
_atom_site_fract_x
_atom_site_fract_y
_atom_site_fract_z
Mg1 0.0000 0.0000 0.0000
Mg2 0.3333 0.6667 0.3216
H1 0.3333 0.6667 0.6201
Pt1 0.0000 0.5000 0.0000
Pt2 0.1591 0.3181 0.6711
```

Properties
Crystal system = trigonal



# 3
First-principles (PBE) data for a relaxed structure of Mg2H2Pt, as listed in Alexandria.

Geometry as CIF:
```
data_Mg2H2Pt
_chemical_formula_sum 'Mg4 H4 Pt2'
_cell_length_a 6.336
_cell_length_b 6.336
_cell_length_c 2.929
_cell_angle_alpha 90.00
_cell_angle_beta 90.00
_cell_angle_gamma 90.00
_space_group_name_H-M_alt 'P 4/m b m'
_space_group_IT_number 127
_space_group_name_Hall '-P 4 2ab'
loop_
_atom_site_label
_atom_site_fract_x
_atom_site_fract_y
_atom_site_fract_z
Mg1 0.188 0.312 0.000
H1 0.126 0.626 0.500
Pt1 0.000 0.000 0.500
```

Properties
Polymorph energy (0 for the lowest one) = 186 meV/atom
Crystal system = tetragonal



no.,DFT total energy (eV per atom),N(E_F) (states/eV per atom)
1,-4.16,0.33
2,-5.20,0.76
3,-3.35,0.15